(1)
Compound: Mg2TcW2
Source: Alexandria
Functional: PBE-GGA
Structure: relaxed

Geometry as extended XYZ:
```
5
Lattice="3.5387 0.0000 0.0000 0.0000 3.5387 0.0000 1.7693 1.7693 7.1924" Properties=species:S:1:pos:R:3 pbc="T T T"
Mg 3.5387 1.7693 3.5962
Mg 1.7693 3.5387 3.5962
Tc 0.0000 0.0000 0.0000
W 1.7693 1.7693 1.2127
W 3.5387 3.5387 5.9797
```

Output
- DFT formation energy: 0.99 eV per atom
- Energy above the lowest structure with this stoichiometry: 338 meV per atom



(2)
Compound: YSc5Pd6
Source: Alexandria
Functional: PBE-GGA
Structure: relaxed

Geometry as extended XYZ:
```
12
Lattice="-1.7158 -2.6556 3.5884 3.4873 -5.1320 -2.1306 6.3606 3.3485 2.3454" Properties=species:S:1:pos:R:3 pbc="T T T"
Y 0.0000 0.0000 0.0000
Sc 2.7112 -3.2232 2.1014
Sc 3.6457 1.3379 2.7447
Sc 1.7437 -2.5660 -1.0653
Sc 0.9991 -0.6451 3.1892
Sc 5.4209 -1.2160 1.7018
Pd 5.3412 -3.8302 2.9189
Pd 3.6323 -1.3154 3.9629
Pd 6.4203 0.6702 3.5790
Pd 1.7118 -5.1094 0.2243
Pd 4.4999 -3.1238 -0.1597
Pd 2.7910 -0.6090 0.8844
```

Output
- DFT formation energy: -0.88 eV per atom



(3)
Compound: BaPmAu2
Source: Alexandria
Functional: PBE-GGA
Structure: relaxed

Geometry as extended XYZ:
```
4
Lattice="-3.9909 -0.6065 -1.7377 -1.5163 -4.0728 -0.6535 -4.9593 -1.5472 6.3721" Properties=species:S:1:pos:R:3 pbc="T T T"
Ba -5.2527 -3.1132 2.0351
Pm -8.6115 -4.6669 4.7339
Au -4.2918 -1.5499 4.8402
Au -2.5029 -1.5571 0.7342
```

Output
- DFT formation energy: -0.63 eV per atom
- Energy above the lowest structure with this stoichiometry: 103 meV per atom



(4)
Compound: AcSm3Ru
Source: Alexandria
Functional: PBE-GGA
Structure: relaxed

Geometry as extended XYZ:
```
10
Lattice="-1.9161 -0.3786 -3.4435 6.6950 -2.3111 -1.1955 -3.5496 -10.7115 3.1528" Properties=species:S:1:pos:R:3 pbc="T T T"
Ac -0.1848 -11.7893 -0.8766
Ac 1.4142 -1.6120 -0.6096
Sm -0.7055 -4.3135 0.8668
Sm 1.9348 -9.0877 -2.3531
Sm 4.1612 -4.0122 -1.8743
Sm -2.9319 -9.3890 0.3880
Sm 0.3782 -7.9247 0.6609
Sm 0.8512 -5.4766 -2.1471
Ru -1.8922 -6.7470 -0.4810
Ru 3.1216 -6.6543 -1.0053
```

Output
- DFT formation energy: -0.12 eV per atom
- Energy above the lowest structure with this stoichiometry: 0 meV per atom



(5)
Compound: Rb2NaTaTe4
Source: Alexandria
Functional: PBE-GGA
Structure: relaxed

Geometry as extended XYZ:
```
16
Lattice="7.0161 0.0000 0.0000 3.5081 7.3971 0.0000 3.5081 0.0000 13.8182" Properties=species:S:1:pos:R:3 pbc="T T T"
Rb 3.5081 0.0000 8.6768
Rb 7.0161 0.0000 5.1413
Rb 8.7701 3.6985 12.0504
Rb 8.7701 3.6985 1.7678
Na 8.7701 3.6985 6.9091
Na 0.0000 0.0000 0.0000
Ta 5.2621 3.6985 6.9091
Ta 3.5081 0.0000 0.0000
Te 5.5608 5.8367 1.5538
Te 5.5608 1.5604 12.2643
Te 11.9794 5.8367 12.2643
Te 4.9633 1.5604 1.5538
Te 6.7174 5.2589 5.3552
Te 6.7174 2.1381 8.4629
Te 10.8229 5.2589 8.4629
Te 3.8068 2.1381 5.3552
```

Output
- ΔE_f (raw): -0.71 eV/atom



(6)
Compound: PuThIrOs
Source: Alexandria
Functional: PBE-GGA
Structure: relaxed

Geometry as extended XYZ:
```
4
Lattice="4.9428 0.0000 0.0000 2.4714 4.2806 0.0000 2.4714 1.4269 4.0358" Properties=species:S:1:pos:R:3 pbc="T T T"
Ir 4.9428 2.8537 2.0179
Os 0.0000 0.0000 0.0000
Th 7.4142 4.2806 3.0268
Pu 2.4714 1.4269 1.0089
```

Output
- DFT formation energy: -0.29 eV per atom



The following magnetic moment values (in μB/cell) correspond, in order, to the records above: 0.000, 0.000, 0.000, 0.000, 0.000, 4.518.